1.
Computed, not measured: TaTlOs after structural relaxation at the PBE level of DFT.

Geometry as POSCAR:
```
TaTlOs
1.0
-1.5516 1.5516 5.9298
1.5516 -1.5516 5.9298
1.5516 1.5516 -5.9298
Ta Tl Os
1 1 1
Cartesian
0.0000 0.0000 0.0000 Ta
0.0000 0.0000 3.6186 Tl
0.0000 0.0000 7.3872 Os
```

## Properties
The uncorrected energy is -24.5 eV per cell. For the energy above the most stable polymorph in this dataset, the calculation gives 0.000 eV per atom.


2.
Computed, not measured: LiMnSb2Br after structural relaxation at the PBE level of DFT.

Geometry as POSCAR:
```
LiMnSb2Br
1.0
4.9032 0.0000 0.0000
0.0000 4.9032 0.0000
0.0000 0.0000 5.2513
Li Mn Sb Br
1 1 2 1
Cartesian
0.0000 0.0000 0.0000 Li
0.0000 0.0000 2.6256 Mn
0.0000 2.4516 0.0000 Sb
2.4516 0.0000 0.0000 Sb
2.4516 2.4516 2.6256 Br
```

## Properties
The uncorrected energy is -18.6 eV per cell. As for the uncorrected formation energy: 0.473 eV per atom.


3.
Computed, not measured: SmDy2Ho6Sc after structural relaxation at the PBE level of DFT.

Geometry as POSCAR:
```
SmDy2Ho6Sc
1.0
4.5077 -7.3974 0.0000
4.5077 7.3974 0.0000
-1.1683 0.0000 9.3147
Sm Dy Ho Sc
2 4 12 2
Cartesian
3.6315 7.0559 6.9860 Sm
4.2156 -7.0559 2.3287 Sm
1.6454 0.7675 5.1033 Dy
2.2296 -0.7675 0.4460 Dy
5.6175 0.7675 8.8687 Dy
6.2017 -0.7675 4.2113 Dy
1.7672 4.1175 6.4142 Ho
3.8897 4.6244 0.5242 Ho
4.5415 4.6244 4.1331 Ho
2.5772 1.5932 8.2368 Ho
5.4957 4.1175 7.5579 Ho
4.6857 1.5932 5.7352 Ho
3.1613 -1.5932 3.5795 Ho
2.3514 -4.1175 1.7568 Ho
5.2699 -1.5932 1.0779 Ho
3.3055 -4.6244 5.1816 Ho
3.9574 -4.6244 8.7905 Ho
6.0799 -4.1175 2.9005 Ho
4.2156 1.2826 2.3287 Sc
3.6315 -1.2826 6.9860 Sc
```

## Properties
The uncorrected energy is -92.9 eV per cell.